Record 1
Compound: CdPtCl3
Source: Alexandria via LeMat-Bulk
Functional: GGA-PBEsol
Structure: relaxed

The structure belongs to space group Pm-3m (No. 221); the cell edges are 4.8075, 4.8075 and 4.8075 Å and the angles 90.00°, 90.00° and 90.00°. The asymmetric unit holds Cd at (0.0000, 0.0000, 0.0000), Pt at (0.5000, 0.5000, 0.5000) and Cl at (0.0000, 0.5000, 0.5000).

As for the volume: 111.11 Å³ per cell. For the total magnetization, the calculation gives 0.00 μB per atom. For the density of states at the Fermi level, the calculation gives 2.21 states/eV/cell. The calculation puts the energy relative to the elements, uncorrected at -184.7 meV per atom.

Record 2
Compound: CdPt2Cl
Source: Alexandria via LeMat-Bulk
Functional: GGA-PBEsol
Structure: relaxed

The structure belongs to space group Imm2 (No. 44); the cell edges are 2.8713, 5.3033 and 9.2041 Å and the angles 90.00°, 90.00° and 90.00°. The asymmetric unit holds Cd at (0.0000, 0.0000, 0.0000), Pt at (0.0000, 0.0000, 0.5010), Pt at (0.0000, 0.5000, 0.2371) and Cl at (0.0000, 0.5000, 0.7813).

As for the volume: 140.16 Å³ per cell. For the total magnetization, the calculation gives 0.00 μB per atom. For the density of states at the Fermi level, the calculation gives 7.03 states/eV/cell. The calculation puts the energy relative to the elements, uncorrected at 255.9 meV per atom.

Record 3
Compound: CdPt2Cl
Source: Alexandria via LeMat-Bulk
Functional: GGA-PBEsol
Structure: relaxed

The structure belongs to space group Cmm2 (No. 35); the cell edges are 4.2263, 4.2393 and 7.6018 Å and the angles 90.00°, 90.00° and 90.00°. The asymmetric unit holds Cd at (0.0000, 0.0000, 0.0000), Pt at (0.0000, 0.0000, 0.4712), Pt at (0.0000, 0.5000, 0.2408) and Cl at (0.0000, 0.5000, 0.7381).

As for the volume: 136.20 Å³ per cell. For the total magnetization, the calculation gives 0.00 μB per atom. For the density of states at the Fermi level, the calculation gives 10.98 states/eV/cell. The calculation puts the energy relative to the elements, uncorrected at 99.3 meV per atom.

> What is the energy relative to the elements, uncorrected in the third record?

99.3 meV per atom

> energy relative to the elements, uncorrected of number 2 (CdPt2Cl)?

255.9 meV per atom